Entry 1:
InSbSe: optimized geometry, GGA-PBE.

```
InSbSe
1.0
-5.4385 2.6074 -2.5257
-1.9272 -4.1072 -0.0904
0.3834 -0.3370 7.1381
In Se Sb
2 2 2
Cartesian
-3.9060 1.8617 -1.3157
-3.3706 -0.9548 1.3452
-2.5820 -1.4237 5.8369
-1.1129 -2.0378 2.4209
-3.5266 1.5967 2.6385
-0.5803 0.1802 4.1824
```

Results
- formation energy without anion corrections (eV/atom) = -0.18
- final energy (eV per atom) = -3.631
- DOS(E_F) (states/eV per cell) = 0.945
- size of the total moment (μB per formula unit) = 0.00

***

Entry 2:
La15Nd4Sm: optimized geometry, GGA-PBE.

```
La15Nd4Sm
1.0
5.2429 0.0000 0.0000
0.0000 5.2429 0.0000
0.0000 0.0000 26.3394
La Nd Sm
15 4 1
Cartesian
2.6214 2.6214 0.0000
0.0000 2.6214 13.1697
2.6214 0.0000 23.7133
0.0000 2.6214 18.4392
2.6214 0.0000 13.1697
2.6214 0.0000 18.4392
0.0000 2.6214 23.7133
0.0000 2.6214 7.9002
2.6214 2.6214 21.0743
2.6214 2.6214 5.2651
2.6214 0.0000 2.6261
0.0000 2.6214 2.6261
2.6214 0.0000 7.9002
2.6214 2.6214 10.5372
2.6214 2.6214 15.8022
0.0000 0.0000 21.0743
0.0000 0.0000 15.8034
0.0000 0.0000 10.5360
0.0000 0.0000 5.2651
0.0000 0.0000 0.0000
```

Results
- calculated formation energy (meV per atom) = 10
- final energy (eV per atom) = -4.875
- DOS(E_F) (states/eV per cell) = 35.961
- size of the total moment (μB per formula unit) = 0.00

***

Entry 3:
Tb2MnAg: optimized geometry, GGA-PBE.

```
Tb2MnAg
1.0
-0.6299 3.4545 -0.7333
-3.2569 -0.8562 -1.2358
-2.7732 0.9116 6.6769
Tb Mn Ag
2 1 1
Cartesian
-2.1103 0.6937 5.0809
-0.6629 0.2179 1.5960
-1.9434 1.2991 -0.9845
-3.3300 1.7549 2.3539
```

Results
- calculated formation energy (meV per atom) = -65
- final energy (eV per atom) = -5.386
- DOS(E_F) (states/eV per cell) = 3.890
- size of the total moment (μB per formula unit) = 3.38

***

Entry 4:
KTaAs2: optimized geometry, GGA-PBE.

```
KTaAs2
1.0
6.1598 -0.0130 0.0103
1.3213 6.0165 -0.0103
-2.2597 -4.8470 3.0567
As K Ta
2 1 1
Cartesian
0.3915 0.3142 0.0000
3.3490 2.6876 0.0000
3.8203 -0.9291 1.5335
1.4010 2.0856 1.5232
```

Results
- calculated formation energy (meV per atom) = 164
- final energy (eV per atom) = -5.398
- energy above the most stable polymorph in this dataset (eV/atom) = 0.554
- DOS(E_F) (states/eV per cell) = 3.235
- size of the total moment (μB per formula unit) = 0.80

***

Entry 5:
TcBAsSe2: optimized geometry, GGA-PBE.

```
TcBAsSe2
1.0
-4.1890 -1.1270 -0.8314
0.8351 -4.1150 1.3705
-1.0684 1.0859 3.9114
As Tc Se B
1 1 2 1
Cartesian
-0.5342 0.5429 1.9557
-2.2112 -2.0781 2.2253
0.4175 -2.0575 0.6853
-2.0945 -0.5635 -0.4157
0.0000 0.0000 0.0000
```

Results
- formation energy without anion corrections (eV/atom) = 1.00
- final energy (eV per atom) = -4.735
- energy above the most stable polymorph in this dataset (eV/atom) = 0.000
- DOS(E_F) (states/eV per cell) = 3.385
- size of the total moment (μB per formula unit) = 1.17

***

Entry 6:
K2ZrTa3O12: optimized geometry, GGA-PBE.

```
K2ZrTa3O12
1.0
7.5806 0.0326 0.0231
3.7721 6.5756 0.0231
3.7721 2.1956 6.1983
Ta O Zr K
3 12 1 2
Cartesian
1.8860 1.0978 3.0991
3.7903 0.0163 0.0116
1.8860 3.2878 0.0116
11.7868 6.8609 2.0965
9.5137 8.1519 5.7821
9.4221 2.7255 1.9332
8.1016 1.9569 4.3113
8.1016 4.7158 0.4216
5.7026 6.0783 4.3113
5.6110 0.6519 0.4624
3.3379 1.9429 4.1480
7.0231 4.0880 5.8229
11.7868 4.2468 5.7821
3.3379 4.5571 0.4624
7.0231 6.8470 1.9332
0.0000 0.0000 0.0000
9.8438 5.7299 4.0642
5.2809 3.0739 2.1803
```

Results
- formation energy without anion corrections (eV/atom) = -2.40
- final energy (eV per atom) = -8.276
- DOS(E_F) (states/eV per cell) = 12.535
- size of the total moment (μB per formula unit) = 3.10

***

Entry 7:
PPt2Cl: optimized geometry, GGA-PBE.

```
PPt2Cl
1.0
3.2990 0.0000 0.0000
0.0000 2.9039 -0.0400
0.0000 -2.8179 7.4315
Cl Pt P
1 2 1
Cartesian
1.6495 0.0215 1.8479
0.0000 0.0834 7.1819
0.0000 0.0456 3.9053
1.6495 0.0645 5.5436
```

Results
- formation energy without anion corrections (eV/atom) = -0.02
- final energy (eV per atom) = -4.855
- energy above the most stable polymorph in this dataset (eV/atom) = 0.238
- DOS(E_F) (states/eV per cell) = 2.464
- size of the total moment (μB per formula unit) = 0.00

***

Entry 8:
LaNdCdSb: optimized geometry, GGA-PBE.

```
LaNdCdSb
1.0
-0.4732 -4.9104 2.4375
4.4645 -3.1145 0.8031
1.9555 -0.7452 5.0890
La Cd Sb Nd
1 1 1 1
Cartesian
0.0000 0.0000 0.0000
1.4867 -2.1925 2.0824
4.4601 -6.5776 6.2473
2.9734 -4.3851 4.1648
```

Results
- formation energy without anion corrections (eV/atom) = -0.62
- final energy (eV per atom) = -4.305
- DOS(E_F) (states/eV per cell) = 3.748
- size of the total moment (μB per formula unit) = 0.00